Record 1
The following is a PBE-GGA calculation of a relaxed structure of TbCu3Ge3, from Alexandria.

Cell and atoms, written as extended XYZ:
```
14
Lattice="-3.647 -5.335 1.229 2.318 -0.166 6.154 -4.960 3.845 1.972" Properties=species:S:1:pos:R:3 pbc="T T T"
Cu -2.561 2.801 4.556
Tb -3.145 -0.828 4.678
Tb 0.000 0.000 0.000
Ge -1.901 1.881 2.524
Ge 0.247 -1.417 3.385
Ge -1.576 -4.084 3.999
Cu -0.085 -2.792 5.230
Cu -1.244 -2.709 2.153
Cu -0.081 0.878 3.570
Cu -3.392 0.589 1.293
Cu -5.215 -2.079 1.908
Ge -3.063 -1.706 1.108
Ge -0.742 1.798 5.602
Ge -5.544 0.216 2.093
```

- energy of formation from the pure elements (eV per formula unit) = 0.91

---

Record 2
The following is a PBE-GGA calculation of a relaxed structure of TbCuGe, from Alexandria.

Cell and atoms, written as extended XYZ:
```
6
Lattice="2.156 -3.734 0.000 2.156 3.734 0.000 0.000 0.000 7.552" Properties=species:S:1:pos:R:3 pbc="T T T"
Ge 2.156 1.245 3.596
Ge 2.156 -1.245 3.956
Cu 2.156 1.245 0.023
Tb 0.000 0.000 1.793
Cu 2.156 -1.245 7.529
Tb 0.000 0.000 5.759
```

- energy of formation from the pure elements (eV per formula unit) = -1.15

---

Record 3
The following is a PBE-GGA calculation of a relaxed structure of TbCu4Ge2, from Alexandria.

Cell and atoms, written as extended XYZ:
```
7
Lattice="4.143 0.000 0.000 2.072 3.588 0.000 2.072 1.196 7.448" Properties=species:S:1:pos:R:3 pbc="T T T"
Cu 6.215 3.588 3.146
Cu 4.143 2.392 5.136
Cu 4.143 2.392 2.312
Ge 2.072 1.196 1.803
Cu 2.072 1.196 4.302
Ge 6.215 3.588 5.645
Tb 0.000 0.000 0.000
```

- E above lowest polymorph (eV/atom) = 0.014
- energy of formation from the pure elements (eV per formula unit) = -2.21

---

Record 4
The following is a PBE-GGA calculation of a relaxed structure of TbCu6Ge4, from Alexandria.

Cell and atoms, written as extended XYZ:
```
11
Lattice="3.988 0.000 0.000 0.000 6.993 0.000 0.000 -3.496 6.056" Properties=species:S:1:pos:R:3 pbc="T T T"
Ge 1.994 4.981 1.161
Cu 1.994 1.318 4.798
Cu 1.994 0.000 2.515
Cu 0.000 3.496 0.485
Ge 1.994 2.012 1.161
Cu 0.000 2.168 2.786
Cu 0.000 4.825 2.786
Ge 0.000 0.000 4.037
Tb 0.000 0.000 0.000
Ge 1.994 3.496 3.733
Cu 1.994 -1.318 4.798
```

- energy of formation from the pure elements (eV per formula unit) = -1.71